This record from Alexandria via LeMat-Bulk describes HgBN2 after structural relaxation. The functional is PBE-GGA.

Summary:
As for the crystal system: cubic. The value obtained for the offset from the most stable computed form is 2357 meV per atom. The uncorrected formation energy is 2.77 eV per atom.

Lattice parameters (Å, degrees): 5.5968 5.5968 5.5968 90.00 90.00 90.00
Closest atoms and distances in Å follow each position.
Space group Fm-3m (No. 225)
One atom of each set of equivalent atoms:
Hg  0.0000  0.0000  0.0000 x4  8 N 2.42
B  0.0000  0.0000  0.5000 x4  8 N 2.42
N  0.2500  0.2500  0.2500 x8  4 Hg 2.42, 4 B 2.42